<w>
Density functional theory data (PBE with a Hubbard U) for an optimized crystal structure of Ni3AgO.

The space group is Pm-3m (No. 221) and the conventional cell measures 4.763, 4.763 and 4.763 Å, with angles of 90.00, 90.00 and 90.00 degrees. The asymmetric unit holds Ni at (0.000, 0.000, 0.500), Ag at (0.000, 0.000, 0.000) and O at (0.500, 0.500, 0.500).

=====

<x>
Density functional theory data (PBE with a Hubbard U) for an optimized crystal structure of Ni3AgO.

The space group is Pm-3m (No. 221) and the conventional cell measures 3.964, 3.964 and 3.964 Å, with angles of 90.00, 90.00 and 90.00 degrees. The asymmetric unit holds Ni at (0.000, 0.000, 0.500), Ag at (0.500, 0.500, 0.500) and O at (0.000, 0.000, 0.000).

=====

Ordering by calculated energy gives the sequence <x>, <w>, with the first entry being the most stable.

=====

<w>
Density functional theory data (PBE with a Hubbard U) for an optimized crystal structure of NiAg3O.

The space group is Pm-3m (No. 221) and the conventional cell measures 4.366, 4.366 and 4.366 Å, with angles of 90.00, 90.00 and 90.00 degrees. The asymmetric unit holds Ni at (0.000, 0.000, 0.000), Ag at (0.000, 0.500, 0.500) and O at (0.500, 0.500, 0.500).

=====

<x>
Density functional theory data (PBE with a Hubbard U) for an optimized crystal structure of NiAg3O.

The space group is Pm-3m (No. 221) and the conventional cell measures 4.736, 4.736 and 4.736 Å, with angles of 90.00, 90.00 and 90.00 degrees. The asymmetric unit holds Ni at (0.000, 0.000, 0.000), Ag at (0.000, 0.000, 0.500) and O at (0.500, 0.500, 0.500).

=====

Ordering by calculated energy gives the sequence <w>, <x>, with the first entry being the most stable.